Model w:
Below is YSbSN2 after structural relaxation, with properties calculated at the PBE level.

a = 4.312 Å, b = 4.312 Å, c = 5.407 Å
α = 90.00°, β = 90.00°, γ = 90.00°
Fractional coordinates of all 5 atoms:
Y1 0.000 0.000 0.000
Sb1 0.500 0.500 0.500
S1 0.000 0.000 0.500
N1 0.000 0.500 0.000
N2 0.500 0.000 0.000

Properties
The calculation puts the total magnetic moment at 0.174 μB per atom. Its symmetry is P4/mmm.

Model x:
Below is YSbSN2 after structural relaxation, with properties calculated at the PBE level.

a = 4.088 Å, b = 4.088 Å, c = 4.992 Å
α = 90.00°, β = 90.00°, γ = 90.00°
Fractional coordinates of all 5 atoms:
Y1 0.000 0.000 0.000
Sb1 0.500 0.500 0.500
S1 0.500 0.500 0.000
N1 0.000 0.500 0.500
N2 0.500 0.000 0.500

Properties
The calculation puts the total magnetic moment at 0.000 μB per atom. Its symmetry is P4/mmm.

Least stable structure: model w

Model w:
Below is YSbS2N after structural relaxation, with properties calculated at the PBE level.

a = 5.047 Å, b = 5.047 Å, c = 4.018 Å
α = 90.00°, β = 90.00°, γ = 90.00°
Fractional coordinates of all 5 atoms:
Y1 0.000 0.000 0.000
Sb1 0.500 0.500 0.500
S1 0.000 0.500 0.500
S2 0.500 0.000 0.500
N1 0.500 0.500 0.000

Properties
The calculation puts the total magnetic moment at 0.000 μB per atom. Its symmetry is P4/mmm.

Model x:
Below is YSbS2N after structural relaxation, with properties calculated at the PBE level.

a = 5.283 Å, b = 5.283 Å, c = 4.327 Å
α = 90.00°, β = 90.00°, γ = 90.00°
Fractional coordinates of all 5 atoms:
Y1 0.000 0.000 0.000
Sb1 0.500 0.500 0.500
S1 0.000 0.500 0.000
S2 0.500 0.000 0.000
N1 0.000 0.000 0.500

Properties
The calculation puts the total magnetic moment at 0.305 μB per atom. Its symmetry is P4/mmm.

Least stable structure: model x

Model w:
Below is ZnSbSN2 after structural relaxation, with properties calculated at the PBE level.

a = 3.990 Å, b = 3.990 Å, c = 5.001 Å
α = 90.00°, β = 90.00°, γ = 90.00°
Fractional coordinates of all 5 atoms:
Zn1 0.000 0.000 0.000
Sb1 0.500 0.500 0.500
S1 0.000 0.000 0.500
N1 0.000 0.500 0.000
N2 0.500 0.000 0.000

Properties
The calculation puts the total magnetic moment at 0.498 μB per atom. Its symmetry is P4/mmm.

Model x:
Below is ZnSbSN2 after structural relaxation, with properties calculated at the PBE level.

a = 3.924 Å, b = 3.924 Å, c = 5.606 Å
α = 90.00°, β = 90.00°, γ = 90.00°
Fractional coordinates of all 5 atoms:
Zn1 0.000 0.000 0.000
Sb1 0.500 0.500 0.500
S1 0.500 0.500 0.000
N1 0.000 0.500 0.500
N2 0.500 0.000 0.500

Properties
The calculation puts the total magnetic moment at 0.133 μB per atom. Its symmetry is P4/mmm.

Least stable structure: model w

Model w:
Below is ZrSbS2N after structural relaxation, with properties calculated at the PBE level.

a = 5.132 Å, b = 5.132 Å, c = 4.002 Å
α = 90.00°, β = 90.00°, γ = 90.00°
Fractional coordinates of all 5 atoms:
Zr1 0.000 0.000 0.000
Sb1 0.500 0.500 0.500
S1 0.000 0.500 0.000
S2 0.500 0.000 0.000
N1 0.000 0.000 0.500

Properties
The calculation puts the total magnetic moment at 0.028 μB per atom. Its symmetry is P4/mmm.

Model x:
Below is ZrSbS2N after structural relaxation, with properties calculated at the PBE level.

a = 5.022 Å, b = 5.022 Å, c = 3.918 Å
α = 90.00°, β = 90.00°, γ = 90.00°
Fractional coordinates of all 5 atoms:
Zr1 0.000 0.000 0.000
Sb1 0.500 0.500 0.500
S1 0.000 0.500 0.500
S2 0.500 0.000 0.500
N1 0.500 0.500 0.000

Properties
The calculation puts the total magnetic moment at 0.184 μB per atom. Its symmetry is P4/mmm.

Least stable structure: model x

Model w:
Below is Sc3SN after structural relaxation, with properties calculated at the PBE level.

a = 3.442 Å, b = 6.503 Å, c = 8.726 Å
α = 90.00°, β = 90.00°, γ = 90.00°
Fractional coordinates of all 10 atoms:
Sc1 0.250 0.003 0.183
Sc2 0.250 0.497 0.183
Sc3 0.250 0.750 0.538
Sc4 0.750 0.250 0.462
Sc5 0.750 0.503 0.817
Sc6 0.750 0.997 0.817
S1 0.250 0.250 0.950
S2 0.750 0.750 0.050
N1 0.250 0.250 0.333
N2 0.750 0.750 0.667

Properties
The calculation puts the total magnetic moment at 0.000 μB per atom. Its symmetry is Pmmn.

Model x:
Below is Sc3SN after structural relaxation, with properties calculated at the PBE level.

a = 5.941 Å, b = 3.583 Å, c = 8.882 Å
α = 90.00°, β = 99.84°, γ = 90.00°
Fractional coordinates of all 10 atoms:
Sc1 0.170 0.250 0.098
Sc2 0.205 0.750 0.422
Sc3 0.289 0.250 0.763
Sc4 0.711 0.750 0.237
Sc5 0.795 0.250 0.578
Sc6 0.830 0.750 0.902
S1 0.467 0.250 0.336
S2 0.533 0.750 0.664
N1 0.002 0.750 0.143
N2 0.998 0.250 0.857

Properties
The calculation puts the total magnetic moment at 0.000 μB per atom. Its symmetry is P2_1/m.

Model y:
Below is Sc3SN after structural relaxation, with properties calculated at the PBE level.

a = 4.354 Å, b = 4.354 Å, c = 4.354 Å
α = 90.00°, β = 90.00°, γ = 90.00°
Fractional coordinates of all 5 atoms:
Sc1 0.000 0.000 0.500
Sc2 0.000 0.500 0.000
Sc3 0.500 0.000 0.000
S1 0.500 0.500 0.500
N1 0.000 0.000 0.000

Properties
The calculation puts the total magnetic moment at 0.000 μB per atom. Its symmetry is Pm-3m.

Least stable structure: model y

Model w:
Below is Sc4S3N after structural relaxation, with properties calculated at the PBE level.

a = 6.242 Å, b = 6.242 Å, c = 3.527 Å
α = 90.00°, β = 90.00°, γ = 108.82°
Fractional coordinates of all 8 atoms:
Sc1 0.213 0.213 0.500
Sc2 0.224 0.776 0.000
Sc3 0.776 0.224 0.000
Sc4 0.787 0.787 0.500
S1 0.000 0.500 0.500
S2 0.500 0.000 0.500
S3 0.500 0.500 0.000
N1 0.000 0.000 0.000

Properties
The calculation puts the total magnetic moment at 0.000 μB per atom. Its symmetry is Cmmm.

Model x:
Below is Sc4S3N after structural relaxation, with properties calculated at the PBE level.

a = 5.056 Å, b = 8.769 Å, c = 6.971 Å
α = 90.00°, β = 90.00°, γ = 90.00°
Fractional coordinates of all 16 atoms:
Sc1 0.250 0.031 0.229
Sc2 0.250 0.250 0.642
Sc3 0.250 0.469 0.229
Sc4 0.250 0.750 0.652
Sc5 0.750 0.250 0.348
Sc6 0.750 0.531 0.771
Sc7 0.750 0.750 0.358
Sc8 0.750 0.969 0.771
S1 0.250 0.506 0.844
S2 0.250 0.750 0.291
S3 0.250 0.994 0.844
S4 0.750 0.006 0.156
S5 0.750 0.250 0.709
S6 0.750 0.494 0.156
N1 0.250 0.250 0.342
N2 0.750 0.750 0.658

Properties
The calculation puts the total magnetic moment at 0.000 μB per atom. Its symmetry is Pmmn.

Least stable structure: model x

Model w:
Below is ScTeS2N after structural relaxation, with properties calculated at the PBE level.

a = 5.058 Å, b = 5.058 Å, c = 3.968 Å
α = 90.00°, β = 90.00°, γ = 90.00°
Fractional coordinates of all 5 atoms:
Sc1 0.000 0.000 0.000
Te1 0.500 0.500 0.500
S1 0.000 0.500 0.000
S2 0.500 0.000 0.000
N1 0.000 0.000 0.500

Properties
The calculation puts the total magnetic moment at 0.000 μB per atom. Its symmetry is P4/mmm.

Model x:
Below is ScTeS2N after structural relaxation, with properties calculated at the PBE level.

a = 5.095 Å, b = 5.095 Å, c = 3.946 Å
α = 90.00°, β = 90.00°, γ = 90.00°
Fractional coordinates of all 5 atoms:
Sc1 0.000 0.000 0.000
Te1 0.500 0.500 0.500
S1 0.000 0.500 0.500
S2 0.500 0.000 0.500
N1 0.500 0.500 0.000

Properties
The calculation puts the total magnetic moment at 0.082 μB per atom. Its symmetry is P4/mmm.

Least stable structure: model x

Model w:
Below is ScWSN2 after structural relaxation, with properties calculated at the PBE level.

a = 4.030 Å, b = 4.030 Å, c = 4.872 Å
α = 90.00°, β = 90.00°, γ = 90.00°
Fractional coordinates of all 5 atoms:
Sc1 0.000 0.000 0.000
W1 0.500 0.500 0.500
S1 0.000 0.000 0.500
N1 0.000 0.500 0.000
N2 0.500 0.000 0.000

Properties
The calculation puts the total magnetic moment at 0.305 μB per atom. Its symmetry is P4/mmm.

Model x:
Below is ScWSN2 after structural relaxation, with properties calculated at the PBE level.

a = 3.913 Å, b = 3.913 Å, c = 4.850 Å
α = 90.00°, β = 90.00°, γ = 90.00°
Fractional coordinates of all 5 atoms:
Sc1 0.000 0.000 0.000
W1 0.500 0.500 0.500
S1 0.500 0.500 0.000
N1 0.000 0.500 0.500
N2 0.500 0.000 0.500

Properties
The calculation puts the total magnetic moment at 0.000 μB per atom. Its symmetry is P4/mmm.

Least stable structure: model w

Model w:
Below is YScS2N after structural relaxation, with properties calculated at the PBE level.

a = 4.906 Å, b = 4.906 Å, c = 4.047 Å
α = 90.00°, β = 90.00°, γ = 90.00°
Fractional coordinates of all 5 atoms:
Y1 0.000 0.000 0.000
Sc1 0.500 0.500 0.500
S1 0.000 0.500 0.500
S2 0.500 0.000 0.500
N1 0.500 0.500 0.000

Properties
The calculation puts the total magnetic moment at 0.203 μB per atom. Its symmetry is P4/mmm.

Model x:
Below is YScS2N after structural relaxation, with properties calculated at the PBE level.

a = 5.176 Å, b = 5.176 Å, c = 4.100 Å
α = 90.00°, β = 90.00°, γ = 90.00°
Fractional coordinates of all 5 atoms:
Y1 0.000 0.000 0.000
Sc1 0.500 0.500 0.500
S1 0.000 0.500 0.000
S2 0.500 0.000 0.000
N1 0.000 0.000 0.500

Properties
The calculation puts the total magnetic moment at 0.000 μB per atom. Its symmetry is P4/mmm.

Least stable structure: model x

Model w:
Below is YScSN2 after structural relaxation, with properties calculated at the PBE level.

a = 4.223 Å, b = 4.223 Å, c = 5.299 Å
α = 90.00°, β = 90.00°, γ = 90.00°
Fractional coordinates of all 5 atoms:
Y1 0.000 0.000 0.000
Sc1 0.500 0.500 0.500
S1 0.000 0.000 0.500
N1 0.000 0.500 0.000
N2 0.500 0.000 0.000

Properties
The calculation puts the total magnetic moment at 0.172 μB per atom. Its symmetry is P4/mmm.

Model x:
Below is YScSN2 after structural relaxation, with properties calculated at the PBE level.

a = 4.069 Å, b = 4.069 Å, c = 5.037 Å
α = 90.00°, β = 90.00°, γ = 90.00°
Fractional coordinates of all 5 atoms:
Y1 0.000 0.000 0.000
Sc1 0.500 0.500 0.500
S1 0.500 0.500 0.000
N1 0.000 0.500 0.500
N2 0.500 0.000 0.500

Properties
The calculation puts the total magnetic moment at 0.076 μB per atom. Its symmetry is P4/mmm.

Least stable structure: model w

Model w:
Below is ScZnS2N after structural relaxation, with properties calculated at the PBE level.

a = 4.992 Å, b = 4.992 Å, c = 4.143 Å
α = 90.00°, β = 90.00°, γ = 90.00°
Fractional coordinates of all 5 atoms:
Sc1 0.000 0.000 0.000
Zn1 0.500 0.500 0.500
S1 0.000 0.500 0.000
S2 0.500 0.000 0.000
N1 0.000 0.000 0.500

Properties
The calculation puts the total magnetic moment at 0.396 μB per atom. Its symmetry is P4/mmm.

Model x:
Below is ScZnS2N after structural relaxation, with properties calculated at the PBE level.

a = 4.783 Å, b = 4.783 Å, c = 3.738 Å
α = 90.00°, β = 90.00°, γ = 90.00°
Fractional coordinates of all 5 atoms:
Sc1 0.000 0.000 0.000
Zn1 0.500 0.500 0.500
S1 0.000 0.500 0.500
S2 0.500 0.000 0.500
N1 0.500 0.500 0.000

Properties
The calculation puts the total magnetic moment at 0.329 μB per atom. Its symmetry is P4/mmm.

Least stable structure: model w

Model w:
Below is ZrScS2N after structural relaxation, with properties calculated at the PBE level.

a = 4.847 Å, b = 4.847 Å, c = 3.911 Å
α = 90.00°, β = 90.00°, γ = 90.00°
Fractional coordinates of all 5 atoms:
Zr1 0.000 0.000 0.000
Sc1 0.500 0.500 0.500
S1 0.000 0.500 0.500
S2 0.500 0.000 0.500
N1 0.500 0.500 0.000

Properties
The calculation puts the total magnetic moment at 0.000 μB per atom. Its symmetry is P4/mmm.

Model x:
Below is ZrScS2N after structural relaxation, with properties calculated at the PBE level.

a = 5.013 Å, b = 5.013 Å, c = 4.032 Å
α = 90.00°, β = 90.00°, γ = 90.00°
Fractional coordinates of all 5 atoms:
Zr1 0.000 0.000 0.000
Sc1 0.500 0.500 0.500
S1 0.000 0.500 0.000
S2 0.500 0.000 0.000
N1 0.000 0.000 0.500

Properties
The calculation puts the total magnetic moment at 0.000 μB per atom. Its symmetry is P4/mmm.

Least stable structure: model w